A plane-wave DFT calculation with PBE was carried out for a relaxed structure of Y3ErRu.

abc: 7.2538 7.2538 7.2619
angles: 108.20 112.77 107.45
With the nearest neighbours (Å) after each atom.
Element x y z (fractional)
Y (0.8466, 0.0500, 0.2908)  1 Ru 2.67
Y (0.2408, 0.4443, 0.2908)  1 Ru 2.67
Y (0.7592, 0.5557, 0.7092)  1 Ru 2.67
Y (0.7068, 0.4477, 0.1545)  1 Ru 2.68
Y (0.1534, 0.9500, 0.7092)  1 Ru 2.67
Y (0.2932, 0.5523, 0.8455)  1 Ru 2.68
Er (0.7025, 0.0526, 0.7552)  1 Ru 2.64
Er (0.2975, 0.9474, 0.2448)  1 Ru 2.64
Ru (0.6212, 0.7523, 0.3735)  1 Er 2.64, 3 Y 2.67-2.68
Ru (0.3788, 0.2477, 0.6265)  1 Er 2.64, 3 Y 2.67-2.68

Output
Its total moment is 0.4 μB per formula unit. The calculation puts the formation enthalpy at 0 K at -1.01 eV/f.u. For the distance to the lowest polymorph of the same formula, the calculation gives 17.0 meV/atom. As for the crystal system: monoclinic.

A plane-wave DFT calculation with PBE was carried out for a relaxed structure of Y2ErRu.

abc: 6.3361 7.2963 9.1878
angles: 90.00 90.00 90.00
With the nearest neighbours (Å) after each atom.
Element x y z (fractional)
Y (0.1706, 0.6765, 0.0639)  3 Ru 2.87-3.19
Y (0.3294, 0.1765, 0.4361)  3 Ru 2.87-3.19
Y (0.8294, 0.3235, 0.5639)  3 Ru 2.87-3.19
Y (0.6706, 0.8235, 0.9361)  3 Ru 2.87-3.19
Y (0.8294, 0.3235, 0.9361)  3 Ru 2.87-3.19
Y (0.6706, 0.8235, 0.5639)  3 Ru 2.87-3.19
Y (0.1706, 0.6765, 0.4361)  3 Ru 2.87-3.19
Y (0.3294, 0.1765, 0.0639)  3 Ru 2.87-3.19
Er (0.6341, 0.5427, 0.2500)  2 Ru 2.70-2.77
Er (0.8659, 0.0427, 0.2500)  2 Ru 2.70-2.77
Er (0.3659, 0.4573, 0.7500)  2 Ru 2.70-2.77
Er (0.1341, 0.9573, 0.7500)  2 Ru 2.70-2.77
Ru (0.0308, 0.3844, 0.2500)  2 Er 2.70-2.77, 4 Y 2.87-2.97
Ru (0.4692, 0.8844, 0.2500)  2 Er 2.70-2.77, 4 Y 2.87-2.97
Ru (0.9692, 0.6156, 0.7500)  2 Er 2.70-2.77, 4 Y 2.87-2.97
Ru (0.5308, 0.1156, 0.7500)  2 Er 2.70-2.77, 4 Y 2.87-2.97

Output
Its total moment is 0.0 μB per formula unit. The calculation puts the formation enthalpy at 0 K at -1.29 eV/f.u. For the distance to the lowest polymorph of the same formula, the calculation gives 0.0 meV/atom. As for the crystal system: orthorhombic.

A plane-wave DFT calculation with PBE was carried out for a relaxed structure of YEr4Ru5.

abc: 3.3807 3.3807 16.8715
angles: 90.00 90.00 90.00
With the nearest neighbours (Å) after each atom.
Element x y z (fractional)
Y (0.0000, 0.0000, 0.0000)  8 Ru 2.95
Er (0.0000, 0.0000, 0.2013)  8 Ru 2.91-2.92
Er (0.0000, 0.0000, 0.4004)  8 Ru 2.92
Er (0.0000, 0.0000, 0.5996)  8 Ru 2.92
Er (0.0000, 0.0000, 0.7987)  8 Ru 2.91-2.92
Ru (0.5000, 0.5000, 0.1027)  4 Er 2.91, 4 Y 2.95
Ru (0.5000, 0.5000, 0.3010)  8 Er 2.92
Ru (0.5000, 0.5000, 0.5000)  8 Er 2.92
Ru (0.5000, 0.5000, 0.6990)  8 Er 2.92
Ru (0.5000, 0.5000, 0.8973)  4 Er 2.91, 4 Y 2.95

Output
Its total moment is 0.0 μB per formula unit. The calculation puts the formation enthalpy at 0 K at -3.61 eV/f.u. As for the crystal system: tetragonal.

A plane-wave DFT calculation with PBE was carried out for a relaxed structure of Y3ErRu4.

abc: 3.4011 3.4011 13.6078
angles: 90.00 90.00 90.00
With the nearest neighbours (Å) after each atom.
Element x y z (fractional)
Y (0.5000, 0.5000, 0.2487)  8 Ru 2.95-2.96
Y (0.5000, 0.5000, 0.5000)  8 Ru 2.95
Y (0.5000, 0.5000, 0.7513)  8 Ru 2.95-2.96
Ru (0.0000, 0.0000, 0.8784)  4 Er 2.92, 4 Y 2.96
Ru (0.0000, 0.0000, 0.1216)  4 Er 2.92, 4 Y 2.96
Ru (0.0000, 0.0000, 0.3742)  8 Y 2.95
Ru (0.0000, 0.0000, 0.6258)  8 Y 2.95
Er (0.5000, 0.5000, 0.0000)  8 Ru 2.92

Output
Its total moment is 0.0 μB per formula unit. The calculation puts the formation enthalpy at 0 K at -2.44 eV/f.u. As for the crystal system: tetragonal.

A plane-wave DFT calculation with PBE was carried out for a relaxed structure of YEr3Ru3.

abc: 5.8130 5.7733 5.8130
angles: 109.33 109.61 109.33
With the nearest neighbours (Å) after each atom.
Element x y z (fractional)
Y (0.0000, 0.4165, 0.0000)  6 Ru 2.79-3.11
Er (0.4150, 0.0035, 0.0000)  4 Ru 2.77-3.08
Er (0.5850, 0.5885, 0.5850)  4 Ru 2.77-3.08
Er (0.0000, 0.0035, 0.4150)  4 Ru 2.77-3.08
Ru (0.5011, 0.5047, 0.0000)  4 Er 2.77-3.08, 1 Y 2.79
Ru (0.4989, 0.0037, 0.4989)  4 Er 2.77-3.08, 1 Y 2.79
Ru (0.0000, 0.5047, 0.5011)  4 Er 2.77-3.08, 1 Y 2.79

Output
Its total moment is 0.0 μB per formula unit. The calculation puts the formation enthalpy at 0 K at -2.75 eV/f.u. As for the crystal system: trigonal.

A plane-wave DFT calculation with PBE was carried out for a relaxed structure of YErRu.

abc: 5.0939 6.8771 8.4124
angles: 90.00 90.00 90.00
With the nearest neighbours (Å) after each atom.
Element x y z (fractional)
Y (0.2500, 0.8138, 0.4452)  2 Ru 2.88-3.05
Y (0.7500, 0.3138, 0.0548)  2 Ru 2.88-3.05
Y (0.2500, 0.6862, 0.9452)  2 Ru 2.88-3.05
Y (0.7500, 0.1862, 0.5548)  2 Ru 2.88-3.05
Er (0.7500, 0.8562, 0.1835)  4 Ru 2.69-2.87
Er (0.7500, 0.6438, 0.6835)  4 Ru 2.69-2.87
Er (0.2500, 0.1438, 0.8165)  4 Ru 2.69-2.87
Er (0.2500, 0.3562, 0.3165)  4 Ru 2.69-2.87
Ru (0.7500, 0.5369, 0.3678)  4 Er 2.69-2.87, 1 Y 2.88
Ru (0.7500, 0.9631, 0.8678)  4 Er 2.69-2.87, 1 Y 2.88
Ru (0.2500, 0.0369, 0.1322)  4 Er 2.69-2.87, 1 Y 2.88
Ru (0.2500, 0.4631, 0.6322)  4 Er 2.69-2.87, 1 Y 2.88

Output
Its total moment is 0.0 μB per formula unit. The calculation puts the formation enthalpy at 0 K at -0.85 eV/f.u. As for the crystal system: orthorhombic.

In order of appearance, density = 6.05, 6.98, 10.88, 8.84, 9.87, 8.05 g cm⁻³.